1.
Entry from the Alexandria database: a relaxed Pm5Pd12Pt3 crystal (GGA-PBE).

The space group is Ia-3d (No. 230) and the conventional cell measures 15.638, 15.638 and 15.638 Å, with angles of 90.00, 90.00 and 90.00 degrees. The distinct sites, in fractional coordinates, are Pm at (0.000, 0.000, 0.000), Pm at (0.000, 0.250, 0.375), Pd at (0.004, 0.081, 0.654) and Pt at (0.000, 0.250, 0.125).

Its total energy is -5.3041 eV/atom. For the density of states at the Fermi level, the calculation gives 7.28 states/eV/f.u. As for the density: 8.99 Mg/m³.



2.
Entry from the Alexandria database: a relaxed ScZn4Au crystal (GGA-PBE).

The space group is F-43m (No. 216) and the conventional cell measures 7.311, 7.311 and 7.311 Å, with angles of 90.00, 90.00 and 90.00 degrees. The distinct sites, in fractional coordinates, are Sc at (0.000, 0.000, 0.000), Zn at (0.126, 0.126, 0.374) and Au at (0.250, 0.250, 0.750).

The excess energy over the best structure of this formula in the dataset comes out at 60 kJ/mol of formula units. For the density of states at the Fermi level, the calculation gives 4.09 states/eV/f.u. As for the density: 8.56 Mg/m³.



3.
Entry from the Alexandria database: a relaxed CsCuAsAu2 crystal (GGA-PBE).

The space group is P4/mmm (No. 123) and the conventional cell measures 6.033, 6.033 and 5.298 Å, with angles of 90.00, 90.00 and 90.00 degrees. The distinct sites, in fractional coordinates, are Cs at (0.000, 0.000, 0.000), Cu at (0.000, 0.000, 0.500), As at (0.500, 0.500, 0.500) and Au at (0.000, 0.500, 0.000).

Its total energy is -1.5524 eV/atom. For the density of states at the Fermi level, the calculation gives 3.27 states/eV/f.u. As for the density: 5.73 Mg/m³.